(1)
# RePt2Rh3

A relaxed structure of RePt2Rh3 (PBE-GGA, Alexandria via LeMat-Bulk).

a = 5.512 Å, b = 3.869 Å, c = 8.270 Å
α = 90.00°, β = 90.33°, γ = 90.00°
Space group P2_1/m (No. 11)
One atom of each set of equivalent atoms:
Re  0.127  0.250  0.246 [2 per cell]
Pt  0.123  0.250  0.585 [2 per cell]
Pt  0.375  0.750  0.090 [2 per cell]
Rh  0.117  0.250  0.916 [2 per cell]
Rh  0.370  0.750  0.747 [2 per cell]
Rh  0.372  0.750  0.410 [2 per cell]

## Properties
Magnetic moment ... 0.000 μB/cell
Raw total energy ... -94.49 eV/cell
DOS(E_F) ... 6.2 states/eV/f.u.

=====

(2)
# RePt2Rh

A relaxed structure of RePt2Rh (PBE-GGA, Alexandria via LeMat-Bulk).

a = 4.768 Å, b = 4.768 Å, c = 2.710 Å
α = 90.00°, β = 90.00°, γ = 90.00°
Space group P4/mmm (No. 123)
One atom of each set of equivalent atoms:
Re  0.000  0.000  0.000 [1 per cell]
Pt  0.000  0.500  0.500 [2 per cell]
Rh  0.500  0.500  0.000 [1 per cell]

## Properties
Magnetic moment ... 0.763 μB/cell
Raw total energy ... -31.18 eV/cell
DOS(E_F) ... 4.5 states/eV/f.u.

=====

(3)
# RePt3Rh

A relaxed structure of RePt3Rh (PBE-GGA, Alexandria via LeMat-Bulk).

a = 2.7790 Å, b = 2.7790 Å, c = 22.7118 Å
α = 90.00°, β = 90.00°, γ = 120.00°
Space group P6_3mc (No. 186)
One atom of each set of equivalent atoms:
Re  0.0000  0.0000  0.0000 [2 per cell]
Pt  0.0000  0.0000  0.2974 [2 per cell]
Pt  0.3333  0.6667  0.0977 [2 per cell]
Pt  0.3333  0.6667  0.4027 [2 per cell]
Rh  0.3333  0.6667  0.6986 [2 per cell]

## Properties
Magnetic moment ... 0.000 μB/cell
Raw total energy ... -76.21 eV/cell
DOS(E_F) ... 7.8 states/eV/f.u.

=====

(4)
# RePt3Rh3

A relaxed structure of RePt3Rh3 (PBE-GGA, Alexandria via LeMat-Bulk).

a = 7.490 Å, b = 7.717 Å, c = 7.814 Å
α = 90.00°, β = 90.00°, γ = 90.00°
Space group Cmmm (No. 65)
One atom of each set of equivalent atoms:
Re  0.000  0.229  0.000 [4 per cell]
Pt  0.000  0.000  0.249 [4 per cell]
Pt  0.250  0.250  0.244 [8 per cell]
Rh  0.000  0.258  0.500 [4 per cell]
Rh  0.194  0.500  0.000 [4 per cell]
Rh  0.241  0.500  0.500 [4 per cell]

## Properties
Magnetic moment ... 0.000 μB/cell
Raw total energy ... -206.12 eV/cell
DOS(E_F) ... 9.1 states/eV/f.u.

=====

(5)
# RePtRh2

A relaxed structure of RePtRh2 (PBE-GGA, Alexandria via LeMat-Bulk).

a = 7.007 Å, b = 7.007 Å, c = 5.377 Å
α = 90.00°, β = 90.00°, γ = 90.00°
Space group I-42d (No. 122)
One atom of each set of equivalent atoms:
Re  0.000  0.000  0.000 [4 per cell]
Pt  0.000  0.000  0.500 [4 per cell]
Rh  0.216  0.750  0.125 [8 per cell]

## Properties
Magnetic moment ... 0.000 μB/cell
Raw total energy ... -125.76 eV/cell
DOS(E_F) ... 5.0 states/eV/f.u.

=====

(6)
# RePt4Rh3

A relaxed structure of RePt4Rh3 (PBE-GGA, Alexandria via LeMat-Bulk).

a = 3.913 Å, b = 3.913 Å, c = 15.641 Å
α = 90.00°, β = 90.00°, γ = 90.00°
Space group I4/mmm (No. 139)
One atom of each set of equivalent atoms:
Re  0.000  0.000  0.000 [2 per cell]
Pt  0.000  0.500  0.122 [8 per cell]
Rh  0.000  0.000  0.253 [4 per cell]
Rh  0.000  0.000  0.500 [2 per cell]

## Properties
Magnetic moment ... 0.000 μB/cell
Raw total energy ... -118.02 eV/cell
DOS(E_F) ... 11.6 states/eV/f.u.

=====

(7)
# RePt2Rh

A relaxed structure of RePt2Rh (PBE-GGA, Alexandria via LeMat-Bulk).

a = 3.872 Å, b = 3.872 Å, c = 7.972 Å
α = 90.00°, β = 90.00°, γ = 90.00°
Space group I4/mmm (No. 139)
One atom of each set of equivalent atoms:
Re  0.000  0.000  0.000 [2 per cell]
Pt  0.000  0.500  0.250 [4 per cell]
Rh  0.000  0.000  0.500 [2 per cell]

## Properties
Magnetic moment ... 0.000 μB/cell
Raw total energy ... -64.22 eV/cell
DOS(E_F) ... 4.5 states/eV/f.u.

=====

(8)
# RePt6Rh23

A relaxed structure of RePt6Rh23 (PBE-GGA, Alexandria via LeMat-Bulk).

a = 7.694 Å, b = 7.694 Å, c = 15.271 Å
α = 90.00°, β = 90.00°, γ = 90.00°
Space group I4/mmm (No. 139)
One atom of each set of equivalent atoms:
Re  0.000  0.000  0.000 [2 per cell]
Pt  0.000  0.000  0.251 [4 per cell]
Pt  0.248  0.248  0.000 [8 per cell]
Rh  0.000  0.000  0.500 [2 per cell]
Rh  0.000  0.252  0.127 [16 per cell]
Rh  0.000  0.254  0.373 [16 per cell]
Rh  0.000  0.500  0.000 [4 per cell]
Rh  0.250  0.250  0.250 [8 per cell]

## Properties
Magnetic moment ... 0.000 μB/cell
Raw total energy ... -432.09 eV/cell
DOS(E_F) ... 33.8 states/eV/f.u.

=====

(9)
# RePt2Rh

A relaxed structure of RePt2Rh (PBE-GGA, Alexandria via LeMat-Bulk).

a = 9.194 Å, b = 2.747 Å, c = 4.811 Å
α = 90.00°, β = 99.73°, γ = 90.00°
Space group Cm (No. 8)
One atom of each set of equivalent atoms:
Re  0.000  0.000  0.000 [2 per cell]
Pt  0.252  0.000  0.752 [2 per cell]
Pt  0.498  0.000  0.493 [2 per cell]
Rh  0.245  0.500  0.234 [2 per cell]

## Properties
Magnetic moment ... 0.000 μB/cell
Raw total energy ... -64.58 eV/cell
DOS(E_F) ... 5.0 states/eV/f.u.

=====

(10)
# Re2Pt3Rh3

A relaxed structure of Re2Pt3Rh3 (PBE-GGA, Alexandria via LeMat-Bulk).

a = 7.3748 Å, b = 7.3748 Å, c = 7.8939 Å
α = 90.00°, β = 90.00°, γ = 120.00°
Space group R32 (No. 155, hexagonal axes)
One atom of each set of equivalent atoms:
Re  0.0000  0.0000  0.1742 [6 per cell]
Pt  0.0000  0.7137  0.5000 [9 per cell]
Rh  0.0000  0.3203  0.0000 [9 per cell]

## Properties
Magnetic moment ... 0.000 μB/cell
Raw total energy ... -192.64 eV/cell
DOS(E_F) ... 4.9 states/eV/f.u.

=====

(11)
# RePtRh2

A relaxed structure of RePtRh2 (PBE-GGA, Alexandria via LeMat-Bulk).

a = 9.133 Å, b = 2.747 Å, c = 4.741 Å
α = 90.00°, β = 100.08°, γ = 90.00°
Space group Cm (No. 8)
One atom of each set of equivalent atoms:
Re  0.000  0.000  0.000 [2 per cell]
Pt  0.251  0.000  0.747 [2 per cell]
Rh  0.245  0.500  0.237 [2 per cell]
Rh  0.497  0.000  0.491 [2 per cell]

## Properties
Magnetic moment ... 0.000 μB/cell
Raw total energy ... -66.84 eV/cell
DOS(E_F) ... 5.5 states/eV/f.u.

=====

(12)
# RePtRh2

A relaxed structure of RePtRh2 (PBE-GGA, Alexandria via LeMat-Bulk).

a = 2.736 Å, b = 2.736 Å, c = 7.850 Å
α = 90.00°, β = 90.00°, γ = 90.00°
Space group P4/mmm (No. 123)
One atom of each set of equivalent atoms:
Re  0.000  0.000  0.000 [1 per cell]
Pt  0.000  0.000  0.500 [1 per cell]
Rh  0.500  0.500  0.238 [2 per cell]

## Properties
Magnetic moment ... 0.000 μB/cell
Raw total energy ... -33.81 eV/cell
DOS(E_F) ... 3.4 states/eV/f.u.